No. 1
This record from the Alexandria database describes an optimized crystal structure of TlHg2Te2. The functional is PBE.

```
TlHg2Te2
1.0
5.5679 0.0000 0.0000
0.0000 5.5679 0.0000
0.0000 0.0000 10.4843
Tl Hg Te
2 4 4
direct
0.0000 0.0000 0.0000
0.5000 0.5000 0.5000
0.0000 0.0000 0.3687
0.0000 0.0000 0.6313
0.5000 0.5000 0.1313
0.5000 0.5000 0.8687
0.0000 0.5000 0.2500
0.0000 0.5000 0.7500
0.5000 0.0000 0.2500
0.5000 0.0000 0.7500
```

* magnetic moment: 0.00 μB per formula unit
* E: -9.29 eV/f.u.
* uncorrected formation energy: -0.01 eV per atom
* calculated volume: 325.0 Å³ per cell
* distance to the lowest polymorph of the same formula: 98.4 meV/atom

***

No. 2
This record from the Alexandria database describes an optimized crystal structure of Tl5Hg12Te3. The functional is PBE.

```
Tl5Hg12Te3
1.0
-9.0121 9.0121 9.0121
9.0121 -9.0121 9.0121
9.0121 9.0121 -9.0121
Tl Hg Te
20 48 12
direct
0.0000 0.0000 0.0000
0.0000 0.0000 0.5000
0.0000 0.5000 0.0000
0.0000 0.5000 0.5000
0.1250 0.7500 0.8750
0.1250 0.8750 0.2500
0.2500 0.1250 0.8750
0.2500 0.6250 0.3750
0.3750 0.2500 0.6250
0.3750 0.6250 0.7500
0.5000 0.0000 0.0000
0.5000 0.0000 0.5000
0.5000 0.5000 0.0000
0.5000 0.5000 0.5000
0.6250 0.3750 0.2500
0.6250 0.7500 0.3750
0.7500 0.3750 0.6250
0.7500 0.8750 0.1250
0.8750 0.1250 0.7500
0.8750 0.2500 0.1250
0.0608 0.2314 0.1270
0.0608 0.3294 0.9338
0.0662 0.6270 0.3956
0.0662 0.9392 0.6706
0.1044 0.7314 0.6706
0.1044 0.8730 0.4338
0.1270 0.0608 0.2314
0.1270 0.5662 0.8956
0.1706 0.2314 0.6044
0.1706 0.4392 0.5662
0.2314 0.1270 0.0608
0.2314 0.6044 0.1706
0.2686 0.3294 0.8956
0.2686 0.4392 0.3730
0.3294 0.8956 0.2686
0.3294 0.9338 0.0608
0.3730 0.2686 0.4392
0.3730 0.6044 0.9338
0.3956 0.0662 0.6270
0.3956 0.8294 0.7686
0.4338 0.1044 0.8730
0.4338 0.8294 0.5608
0.4392 0.3730 0.2686
0.4392 0.5662 0.1706
0.5608 0.4338 0.8294
0.5608 0.6270 0.7314
0.5662 0.1706 0.4392
0.5662 0.8956 0.1270
0.6044 0.1706 0.2314
0.6044 0.9338 0.3730
0.6270 0.3956 0.0662
0.6270 0.7314 0.5608
0.6706 0.0662 0.9392
0.6706 0.1044 0.7314
0.7314 0.5608 0.6270
0.7314 0.6706 0.1044
0.7686 0.3956 0.8294
0.7686 0.8730 0.9392
0.8294 0.5608 0.4338
0.8294 0.7686 0.3956
0.8730 0.4338 0.1044
0.8730 0.9392 0.7686
0.8956 0.1270 0.5662
0.8956 0.2686 0.3294
0.9338 0.0608 0.3294
0.9338 0.3730 0.6044
0.9392 0.6706 0.0662
0.9392 0.7686 0.8730
0.1250 0.2500 0.3750
0.1250 0.3750 0.7500
0.2500 0.3750 0.1250
0.2500 0.8750 0.6250
0.3750 0.1250 0.2500
0.3750 0.7500 0.1250
0.6250 0.2500 0.8750
0.6250 0.8750 0.7500
0.7500 0.1250 0.3750
0.7500 0.6250 0.8750
0.8750 0.6250 0.2500
0.8750 0.7500 0.6250
```

* magnetic moment: 0.00 μB per formula unit
* E: -23.79 eV/f.u.
* uncorrected formation energy: 0.05 eV per atom
* calculated volume: 2927.8 Å³ per cell

***

No. 3
This record from the Alexandria database describes an optimized crystal structure of Tl7HgTe3. The functional is PBE.

```
Tl7HgTe3
1.0
7.5654 -6.0586 0.0000
7.5654 6.0586 0.0000
0.0000 0.0000 10.1285
Tl Hg Te
14 2 6
direct
0.1366 0.6301 0.0426
0.1366 0.6301 0.4574
0.1501 0.8499 0.7500
0.3483 0.3595 0.7500
0.3595 0.3483 0.2500
0.3699 0.8634 0.0426
0.3699 0.8634 0.4574
0.6301 0.1366 0.5426
0.6301 0.1366 0.9574
0.6405 0.6517 0.7500
0.6517 0.6405 0.2500
0.8499 0.1501 0.2500
0.8634 0.3699 0.5426
0.8634 0.3699 0.9574
0.0000 0.0000 0.0000
0.0000 0.0000 0.5000
0.0261 0.5546 0.7500
0.4454 0.9739 0.7500
0.5000 0.5000 0.0000
0.5000 0.5000 0.5000
0.5546 0.0261 0.2500
0.9739 0.4454 0.2500
```

* magnetic moment: 0.00 μB per formula unit
* E: -28.07 eV/f.u.
* uncorrected formation energy: -0.16 eV per atom
* calculated volume: 928.5 Å³ per cell

***

No. 4
This record from the Alexandria database describes an optimized crystal structure of TlHg2Te. The functional is PBE.

```
TlHg2Te
1.0
4.0526 0.0000 0.0000
0.0000 5.0983 0.0000
0.0000 0.0000 11.2267
Tl Hg Te
2 4 2
direct
0.0000 0.0000 0.0000
0.5000 0.5000 0.0000
0.0000 0.5000 0.2468
0.0000 0.5000 0.7532
0.5000 0.0000 0.2468
0.5000 0.0000 0.7532
0.0000 0.0000 0.5000
0.5000 0.5000 0.5000
```

* magnetic moment: 0.00 μB per formula unit
* E: -6.01 eV/f.u.
* uncorrected formation energy: 0.02 eV per atom
* calculated volume: 232.0 Å³ per cell
* distance to the lowest polymorph of the same formula: 88.0 meV/atom

***

No. 5
This record from the Alexandria database describes an optimized crystal structure of Tl4Hg15Te. The functional is PBE.

```
Tl4Hg15Te
1.0
5.3624 0.0000 0.0000
0.0000 5.3767 0.0000
0.0000 0.0000 19.9416
Tl Hg Te
4 15 1
direct
0.0000 0.0000 0.1010
0.0000 0.0000 0.3120
0.0000 0.0000 0.6880
0.0000 0.0000 0.8990
0.0000 0.5000 0.0000
0.0000 0.5000 0.2008
0.0000 0.5000 0.4029
0.0000 0.5000 0.5971
0.0000 0.5000 0.7992
0.5000 0.0000 0.0000
0.5000 0.0000 0.2009
0.5000 0.0000 0.4028
0.5000 0.0000 0.5972
0.5000 0.0000 0.7991
0.5000 0.5000 0.1004
0.5000 0.5000 0.2969
0.5000 0.5000 0.5000
0.5000 0.5000 0.7031
0.5000 0.5000 0.8996
0.0000 0.0000 0.5000
```

* magnetic moment: 0.00 μB per formula unit
* E: -17.39 eV/f.u.
* uncorrected formation energy: -0.01 eV per atom
* calculated volume: 575.0 Å³ per cell

***

No. 6
This record from the Alexandria database describes an optimized crystal structure of Tl2HgTe. The functional is PBE.

```
Tl2HgTe
1.0
4.0718 0.0000 0.0000
0.0000 4.0718 0.0000
0.0000 0.0000 8.0925
Tl Hg Te
2 1 1
direct
0.0000 0.0000 0.2257
0.0000 0.0000 0.7743
0.5000 0.5000 0.5000
0.5000 0.5000 0.0000
```

* magnetic moment: 0.00 μB per formula unit
* E: -8.83 eV/f.u.
* uncorrected formation energy: -0.16 eV per atom
* calculated volume: 134.2 Å³ per cell
* distance to the lowest polymorph of the same formula: 49.3 meV/atom

***

No. 7
This record from the Alexandria database describes an optimized crystal structure of TlHg2Te2. The functional is PBE.

```
TlHg2Te2
1.0
4.7133 0.0000 0.0000
0.0000 4.7133 0.0000
0.0000 0.0000 14.7040
Tl Hg Te
2 4 4
direct
0.0000 0.0000 0.0000
0.5000 0.5000 0.5000
0.0000 0.5000 0.2500
0.0000 0.5000 0.7500
0.5000 0.0000 0.2500
0.5000 0.0000 0.7500
0.0000 0.0000 0.3842
0.0000 0.0000 0.6158
0.5000 0.5000 0.1158
0.5000 0.5000 0.8842
```

* magnetic moment: 0.00 μB per formula unit
* E: -9.43 eV/f.u.
* uncorrected formation energy: -0.04 eV per atom
* calculated volume: 326.7 Å³ per cell
* distance to the lowest polymorph of the same formula: 70.6 meV/atom

***

No. 8
This record from the Alexandria database describes an optimized crystal structure of Tl16Hg12Te. The functional is PBE.

```
Tl16Hg12Te
1.0
6.0502 -8.2317 0.0000
6.0502 8.2317 0.0000
-5.5559 0.0000 8.7200
Tl Hg Te
16 12 1
direct
0.0000 0.0000 0.0000
0.0065 0.6271 0.0052
0.2116 0.5530 0.5572
0.2262 0.2262 0.6718
0.3395 0.7121 0.3261
0.3488 0.3488 0.3261
0.3663 0.9658 0.6724
0.3788 0.6464 0.9734
0.5530 0.2116 0.5572
0.6271 0.0065 0.0052
0.6464 0.3788 0.9734
0.6928 0.9827 0.3601
0.7121 0.3395 0.3261
0.9318 0.9318 0.6322
0.9658 0.3663 0.6724
0.9827 0.6928 0.3601
0.1480 0.7854 0.7928
0.1689 0.3560 0.9880
0.1771 0.9891 0.3382
0.3560 0.1689 0.9880
0.3654 0.9691 0.1596
0.5097 0.5097 0.7355
0.5968 0.7895 0.6664
0.7683 0.7683 0.0786
0.7854 0.1480 0.7928
0.7895 0.5968 0.6664
0.9691 0.3654 0.1596
0.9891 0.1771 0.3382
0.6233 0.6233 0.2968
```

* magnetic moment: 0.00 μB per formula unit
* E: -45.20 eV/f.u.
* uncorrected formation energy: -0.02 eV per atom
* calculated volume: 868.6 Å³ per cell

***

No. 9
This record from the Alexandria database describes an optimized crystal structure of Tl2HgTe. The functional is PBE.

```
Tl2HgTe
1.0
4.8748 0.0000 0.0000
-2.4374 4.2217 0.0000
0.0000 0.0000 22.3933
Tl Hg Te
6 3 3
direct
0.0000 0.0000 0.0000
0.0000 0.0000 0.1843
0.3333 0.6667 0.6667
0.3333 0.6667 0.8509
0.6667 0.3333 0.3333
0.6667 0.3333 0.5176
0.0000 0.0000 0.7631
0.3333 0.6667 0.4298
0.6667 0.3333 0.0964
0.0000 0.0000 0.5916
0.3333 0.6667 0.2583
0.6667 0.3333 0.9249
```

* magnetic moment: 0.00 μB per formula unit
* E: -9.00 eV/f.u.
* uncorrected formation energy: -0.21 eV per atom
* calculated volume: 460.9 Å³ per cell
* distance to the lowest polymorph of the same formula: 6.9 meV/atom

***

No. 10
This record from the Alexandria database describes an optimized crystal structure of Tl2HgTe. The functional is PBE.

```
Tl2HgTe
1.0
3.7690 0.0000 0.0000
0.0000 4.4838 0.0000
0.0000 0.0000 7.5822
Tl Hg Te
2 1 1
direct
0.0000 0.0000 0.0000
0.5000 0.5000 0.3281
0.5000 0.5000 0.8010
0.0000 0.0000 0.5492
```

* magnetic moment: 0.00 μB per formula unit
* E: -8.58 eV/f.u.
* uncorrected formation energy: -0.10 eV per atom
* calculated volume: 128.1 Å³ per cell
* distance to the lowest polymorph of the same formula: 112.6 meV/atom

***

No. 11
This record from the Alexandria database describes an optimized crystal structure of Tl4HgTe. The functional is PBE.

```
Tl4HgTe
1.0
0.0000 4.6462 4.6462
4.6462 0.0000 4.6462
4.6462 4.6462 0.0000
Tl Hg Te
4 1 1
direct
0.1255 0.1255 0.1255
0.1255 0.1255 0.6236
0.1255 0.6236 0.1255
0.6236 0.1255 0.1255
0.7500 0.7500 0.7500
0.5000 0.5000 0.5000
```

* magnetic moment: 0.00 μB per formula unit
* E: -12.69 eV/f.u.
* uncorrected formation energy: 0.04 eV per atom
* calculated volume: 200.6 Å³ per cell
* distance to the lowest polymorph of the same formula: 150.5 meV/atom

***

No. 12
This record from the Alexandria database describes an optimized crystal structure of TlHg2Te. The functional is PBE.

```
TlHg2Te
1.0
3.4928 0.0000 0.0000
-1.7464 3.0249 0.0000
0.0000 0.0000 35.5383
Tl Hg Te
3 6 3
direct
0.0000 0.0000 0.0000
0.3333 0.6667 0.6667
0.6667 0.3333 0.3333
0.0000 0.0000 0.5008
0.0000 0.0000 0.7522
0.3333 0.6667 0.1675
0.3333 0.6667 0.4189
0.6667 0.3333 0.0855
0.6667 0.3333 0.8341
0.0000 0.0000 0.2583
0.3333 0.6667 0.9250
0.6667 0.3333 0.5916
```

* magnetic moment: 0.00 μB per formula unit
* E: -5.98 eV/f.u.
* uncorrected formation energy: 0.03 eV per atom
* calculated volume: 375.5 Å³ per cell
* distance to the lowest polymorph of the same formula: 96.9 meV/atom